Crystalline SrBi2Pt2 at its relaxed geometry. Source: Alexandria, functional PBE.

Output
formation energy = -222 kJ/mol of formula units

POSCAR file:
```
SrBi2Pt2
1.0
5.026 0.000 0.000
0.000 5.026 0.000
2.513 2.513 5.426
Sr Bi Pt
1 2 2
Cartesian
0.000 0.000 0.000
2.513 2.513 1.562
5.026 5.026 3.863
5.026 2.513 2.713
2.513 5.026 2.713
```

=====

Crystalline SrScTe2I at its relaxed geometry. Source: Alexandria, functional PBE.

Output
ΔE to the lowest computed polymorph = 0 meV/atom
formation energy from raw total energies = -1120 meV/atom

POSCAR file:
```
SrScTe2I
1.0
5.685 0.000 0.000
0.000 5.685 0.000
0.000 0.000 5.621
I Sr Te Sc
1 1 2 1
Cartesian
0.000 0.000 2.810
2.842 2.842 2.810
0.000 2.842 0.000
2.842 0.000 0.000
0.000 0.000 0.000
```

=====

Crystalline LaIn2Co at its relaxed geometry. Source: Alexandria, functional PBE.

Output
formation energy = -33 kJ/mol of formula units

POSCAR file:
```
LaIn2Co
1.0
-1.472 5.933 -1.331
-5.896 1.801 -1.067
4.271 -2.492 3.833
Co In La
1 2 1
Cartesian
-2.654 1.588 0.784
-0.346 0.363 -0.113
-3.338 3.504 -1.086
-0.443 3.654 0.652
```

=====

Crystalline BePRu2 at its relaxed geometry. Source: Alexandria, functional PBE.

Output
ΔE to the lowest computed polymorph = 526 meV/atom
formation energy = 23 kJ/mol of formula units

POSCAR file:
```
BePRu2
1.0
-2.170 -1.229 1.342
2.627 -0.716 0.781
0.002 5.364 4.913
Ru Be P
2 1 1
Cartesian
0.002 5.337 4.889
0.001 2.709 2.481
0.229 0.369 2.290
0.230 3.051 4.746
```

=====

For each record above, in turn, the calculated size of the total moment values are 0.0 0.0 0.5 0.0 μB/cell.